First-principles (GGA-PBEsol) data for a relaxed structure of HfSe2BrF, as listed in Alexandria via LeMat-Bulk.

Symmetry: P4/mmm (123)
Calculated density: 5483 kg/m³
Magnetic moment: 1.16 Bohr magnetons per cell
Raw formation energy: -0.562 eV/atom

a b c (Å): 5.0702 5.0702 5.1287
angles (deg): 90.00 90.00 90.00
Last column: nearest neighbours and their distance in Å.
Atoms (fractional coordinates):
Hf  0.0000  0.0000  0.0000  4 Se 2.54, 2 Br 2.56
Se  0.0000  0.5000  0.0000  2 Hf 2.54
Se  0.5000  0.0000  0.0000  2 Hf 2.54
Br  0.0000  0.0000  0.5000  2 Hf 2.56
F  0.5000  0.5000  0.5000  4 Br 3.59, 8 Se 3.61